Entry 1:
Compound: Y2TlB
Source: the Alexandria database
Functional: GGA-PBE
Structure: relaxed

abc: 7.5587 7.5587 6.3926
angles: 53.76 53.76 90.00
With the nearest neighbours (Å) after each atom.
Positions (direct):
Y (0.5555, 0.1250, 0.2500)  2 B 2.49
Y (0.1945, 0.6250, 0.2500)  2 B 2.49
Y (0.3750, 0.4445, 0.7500)  2 B 2.49
Y (0.8750, 0.8055, 0.7500)  2 B 2.49
Tl (0.0000, 0.0000, 0.0000)  8 Y 3.19-3.51, 2 B 3.51
Tl (0.7500, 0.2500, 0.5000)  8 Y 3.19-3.51, 2 B 3.51
B (0.5000, 0.5000, 0.0000)  4 Y 2.49
B (0.2500, 0.7500, 0.5000)  4 Y 2.49

## Properties
- Formation energy from the elements: 0.10 eV/atom
- Fermi-level density of states: 1.131 states/eV/f.u.
- Crystal system: tetragonal
- Total energy: -5.388 eV per atom

***

Entry 2:
Compound: BaLaSe2
Source: the Alexandria database
Functional: GGA-PBE
Structure: relaxed

abc: 5.4274 5.4274 5.4274
angles: 60.00 60.00 60.00
With the nearest neighbours (Å) after each atom.
Positions (direct):
Ba (0.0000, 0.0000, 0.0000)  8 Se 3.32
Se (0.2500, 0.2500, 0.2500)  4 La 3.32, 4 Ba 3.32
Se (0.7500, 0.7500, 0.7500)  4 La 3.32, 4 Ba 3.32
La (0.5000, 0.5000, 0.5000)  8 Se 3.32

## Properties
- Fermi-level density of states: 2.882 states/eV/f.u.
- Crystal system: cubic
- E_form (uncorrected): -1.69 eV per atom
- Total energy: -5.146 eV per atom

***

Entry 3:
Compound: ZrOsAu2O
Source: the Alexandria database
Functional: GGA-PBE
Structure: relaxed

abc: 4.9686 4.9358 4.9686
angles: 90.00 90.00 90.00
With the nearest neighbours (Å) after each atom.
Positions (direct):
Os (0.0000, 0.0000, 0.0000)  2 Zr 2.47, 4 Au 2.48
Au (0.0000, 0.0000, 0.5000)  2 Os 2.48
Au (0.5000, 0.0000, 0.0000)  2 Os 2.48
O (0.5000, 0.5000, 0.5000)  8 Au 3.50, 4 Zr 3.51
Zr (0.0000, 0.5000, 0.0000)  2 Os 2.47

## Properties
- Fermi-level density of states: 7.917 states/eV/f.u.
- Crystal system: tetragonal
- E_form (uncorrected): 1.15 eV per atom
- Total energy: -5.109 eV per atom

***

Entry 4:
Compound: Ac3Hg
Source: the Alexandria database
Functional: GGA-PBE
Structure: relaxed

abc: 5.2356 5.2356 6.6318
angles: 113.25 113.25 90.00
With the nearest neighbours (Å) after each atom.
Positions (direct):
Ac (0.7500, 0.2500, 0.5000)  8 Ac 3.70-3.80, 4 Hg 3.80
Ac (0.2500, 0.7500, 0.5000)  8 Ac 3.70-3.80, 4 Hg 3.80
Ac (0.5000, 0.5000, 0.0000)  4 Hg 3.70, 8 Ac 3.80
Hg (0.0000, 0.0000, 0.0000)  12 Ac 3.70-3.80

## Properties
- Formation energy from the elements: -0.09 eV/atom
- Fermi-level density of states: 5.316 states/eV/f.u.
- Crystal system: tetragonal
- Total energy: -3.246 eV per atom

***

Entry 5:
Compound: Fe2ReBr
Source: the Alexandria database
Functional: GGA-PBE
Structure: relaxed

abc: 5.1066 5.1066 5.1066
angles: 147.07 127.99 62.94
With the nearest neighbours (Å) after each atom.
Positions (direct):
Br (0.2500, 0.7500, 0.5000)  4 Fe 2.55, 4 Re 2.67
Fe (0.0092, 0.0092, 0.0000)  2 Br 2.55, 4 Fe 2.67, 2 Re 2.68
Fe (0.4908, 0.4908, 0.0000)  2 Br 2.55, 4 Fe 2.67, 2 Re 2.68
Re (0.7500, 0.2500, 0.5000)  4 Br 2.67, 4 Fe 2.68, 2 Re 2.89

## Properties
- Fermi-level density of states: 4.616 states/eV/f.u.
- Crystal system: orthorhombic
- E_form (uncorrected): 0.97 eV per atom
- Total energy: -6.787 eV per atom

***

Entry 6:
Compound: KLi2Tc
Source: the Alexandria database
Functional: GGA-PBE
Structure: relaxed

abc: 5.1412 5.1412 5.1412
angles: 60.00 60.00 60.00
With the nearest neighbours (Å) after each atom.
Positions (direct):
K (0.5000, 0.5000, 0.5000)  4 Tc 3.15, 4 Li 3.15
Li (0.0000, 0.0000, 0.0000)  4 Tc 3.15, 4 Li 3.15
Li (0.2500, 0.2500, 0.2500)  4 Li 3.15, 4 K 3.15
Tc (0.7500, 0.7500, 0.7500)  4 Li 3.15, 4 K 3.15

## Properties
- Formation energy from the elements: 1.09 eV/atom
- Fermi-level density of states: 3.503 states/eV/f.u.
- Crystal system: cubic
- Total energy: -2.732 eV per atom

***

Entry 7:
Compound: Ac4Th3UN8
Source: the Alexandria database
Functional: GGA-PBE
Structure: relaxed

abc: 7.4147 7.5408 7.4155
angles: 119.45 120.00 90.00
With the nearest neighbours (Å) after each atom.
Positions (direct):
Ac (0.5000, 0.0000, 0.0000)  6 N 2.98
Ac (0.5000, 0.0000, 0.5000)  6 N 2.80-2.81
Ac (0.0000, 0.0000, 0.0000)  6 N 2.80-2.81
Ac (0.0000, 0.0000, 0.5000)  6 N 2.80-2.81
Th (0.5000, 0.5000, 0.0000)  6 N 2.50-2.54
Th (0.5000, 0.5000, 0.5000)  6 N 2.50-2.54
Th (0.0000, 0.5000, 0.5000)  6 N 2.50-2.54
U (0.0000, 0.5000, 0.0000)  6 N 2.32
N (0.2188, 0.6957, 0.9770)  1 U 2.32, 2 Th 2.54
N (0.2188, 0.6958, 0.4376)  1 U 2.32, 2 Th 2.54
N (0.2641, 0.2924, 0.5283)  3 Th 2.50
N (0.7583, 0.6957, 0.9770)  1 U 2.32, 2 Th 2.54
N (0.2417, 0.3043, 0.0230)  1 U 2.32, 2 Th 2.54
N (0.7359, 0.7076, 0.4717)  3 Th 2.50
N (0.7812, 0.3042, 0.5624)  1 U 2.32, 2 Th 2.54
N (0.7812, 0.3043, 0.0230)  1 U 2.32, 2 Th 2.54

## Properties
- Fermi-level density of states: 9.321 states/eV/f.u.
- Crystal system: trigonal
- E_form (uncorrected): -1.34 eV per atom
- Total energy: -8.630 eV per atom

***

Entry 8:
Compound: K2H6PbAu2
Source: the Alexandria database
Functional: GGA-PBE
Structure: relaxed

abc: 5.8538 5.9869 7.0413
angles: 114.66 90.00 119.27
With the nearest neighbours (Å) after each atom.
Positions (direct):
K (0.7099, 0.4197, 0.1849)  9 H 2.87-3.10
K (0.2901, 0.5803, 0.8151)  9 H 2.87-3.10
H (0.7537, 0.5074, 0.6526)  1 Au 1.74
H (0.2062, 0.9144, 0.2074)  1 Au 1.74
H (0.2918, 0.0856, 0.7926)  1 Au 1.74
H (0.7938, 0.0856, 0.7926)  1 Au 1.74
H (0.7082, 0.9144, 0.2074)  1 Au 1.74
H (0.2463, 0.4926, 0.3474)  1 Au 1.74
Pb (0.5000, 0.0000, 0.5000)  6 H 2.34-2.39
Au (0.9415, 0.8830, 0.7483)  3 H 1.74
Au (0.0585, 0.1170, 0.2517)  3 H 1.74

## Properties
- Fermi-level density of states: 0.066 states/eV/f.u.
- Crystal system: monoclinic
- Total energy: -2.979 eV per atom